(1)
Here is a relaxed structure of Tb3YSb2 from the Alexandria database. Energies are from PBE-GGA.

Structure (extended XYZ):
```
12
Lattice="7.0027 0.0000 0.0000 0.0000 7.6596 0.0000 -3.5014 -3.8298 7.2316" Properties=species:S:1:pos:R:3 pbc="T T T"
Tb 3.5014 1.9149 4.2237
Sb 2.2775 3.8298 2.1195
Tb 3.5014 5.7447 0.0000
Y 0.0000 3.8298 0.0000
Sb 4.7252 0.0000 2.1195
Tb 0.0000 5.7447 3.0079
Sb -1.2238 3.8298 5.1121
Y 0.0000 0.0000 0.0000
Sb 1.2238 0.0000 5.1121
Tb 0.0000 1.9149 3.0079
Tb 3.5014 1.9149 0.0000
Tb 3.5014 -1.9149 4.2237
```

Calculated values
total magnetization: 0.08 μB per atom
electronic total energy: -64.13 eV per cell
N(E_F): 14.41 states/eV/cell
calculated volume: 387.9 Å³/cell
symmetry: Ibam (72)
E_form (uncorrected): -578 meV per atom

***

(2)
Here is a relaxed structure of NaCaTlIn from the Alexandria database. Energies are from PBE-GGA.

Structure (extended XYZ):
```
4
Lattice="5.4262 0.0000 0.0000 2.7131 4.6992 0.0000 2.7131 1.5664 4.4305" Properties=species:S:1:pos:R:3 pbc="T T T"
Na 0.0000 0.0000 0.0000
In 8.1393 4.6992 3.3229
Tl 2.7131 1.5664 1.1076
Ca 5.4262 3.1328 2.2152
```

Calculated values
total magnetization: 0.00 μB per atom
electronic total energy: -9.43 eV per cell
N(E_F): 3.42 states/eV/cell
calculated volume: 113.0 Å³/cell
formation energy from the elements: -0.251 eV/atom
symmetry: F-43m (216)

***

(3)
Here is a relaxed structure of TcSbTe from the Alexandria database. Energies are from PBE-GGA.

Structure (extended XYZ):
```
3
Lattice="3.3664 0.0000 0.0000 -1.6832 2.9154 0.0000 0.0000 0.0000 7.8178" Properties=species:S:1:pos:R:3 pbc="T T T"
Te 1.6832 0.9718 4.5001
Sb 0.0000 0.0000 0.6568
Tc 0.0000 1.9436 2.6609
```

Calculated values
total magnetization: 0.00 μB per atom
electronic total energy: -17.38 eV per cell
N(E_F): 2.02 states/eV/cell
calculated volume: 76.7 Å³/cell
symmetry: P3m1 (156)
E_form (uncorrected): 84 meV per atom

***

(4)
Here is a relaxed structure of TbGdTh from the Alexandria database. Energies are from PBE-GGA.

Structure (extended XYZ):
```
3
Lattice="-0.3974 -1.0139 3.4101 3.2118 -0.2092 -1.5669 1.8073 8.1094 2.6218" Properties=species:S:1:pos:R:3 pbc="T T T"
Th 0.0004 0.0018 0.0006
Tb 3.2296 5.0004 1.8631
Gd 1.3918 1.8841 2.6013
```

Calculated values
total magnetization: 2.47 μB per atom
electronic total energy: -26.07 eV per cell
N(E_F): 4.87 states/eV/cell
calculated volume: 96.7 Å³/cell
formation energy from the elements: 0.020 eV/atom
symmetry: P3m1 (156)

***

> Which of these has the highest calculated volume?

Tb3YSb2

***

> What is the formula in the fourth record?

TbGdTh